# HfH PBE-GGA relaxed
data_HfH
_cell_length_a 3.329
_cell_length_b 4.551
_cell_length_c 9.905
_cell_angle_alpha 90.00
_cell_angle_beta 90.00
_cell_angle_gamma 90.00
_space_group_name_H-M_alt 'P 1'
_space_group_IT_number 1
loop_
_space_group_symop_operation_xyz
'x,y,z'
loop_
_atom_site_label
_atom_site_fract_x
_atom_site_fract_y
_atom_site_fract_z
Hf1 0.000 0.732 0.831
Hf2 0.500 0.268 0.669
Hf3 0.500 0.268 0.331
Hf4 0.000 0.732 0.169
Hf5 0.000 0.756 0.500
Hf6 0.500 0.244 0.000
H1 0.000 0.006 0.670
H2 0.500 0.994 0.830
H3 0.500 0.994 0.170
H4 0.000 0.006 0.330
H5 0.000 0.488 0.000
H6 0.500 0.512 0.500
# - M_tot: 0.00 μB/f.u.
# - Calculated density: 11.9 Mg/m³
# - Symmetry: Pmmn
# - Uncorrected energy: -84.1 eV for the cell shown